No. 1
Computed, not measured: HgBHS after structural relaxation at the PBE level of DFT.

Structure (CIF):
```
data_HgBHS
_chemical_formula_sum 'Hg2 B2 H2 S2'
_cell_length_a 5.354
_cell_length_b 3.090
_cell_length_c 8.696
_cell_angle_alpha 90.00
_cell_angle_beta 102.12
_cell_angle_gamma 90.00
_space_group_name_H-M_alt 'C 1 m 1'
_space_group_IT_number 8
loop_
_space_group_symop_operation_xyz
'x,y,z'
'x,-y,z'
'x+1/2,y+1/2,z'
'x+1/2,-y+1/2,z'
loop_
_atom_site_label
_atom_site_type_symbol
_atom_site_fract_x
_atom_site_fract_y
_atom_site_fract_z
Hg1 Hg 0.000 0.000 0.000
B1 B 0.002 0.500 0.522
H1 H 0.050 0.500 0.663
S1 S 0.303 0.500 0.428
```

No. 2
Computed, not measured: KSmB3H12 after structural relaxation at the PBE level of DFT.

Structure (CIF):
```
data_KSmB3H12
_chemical_formula_sum 'K4 Sm4 B12 H48'
_cell_length_a 7.729
_cell_length_b 7.722
_cell_length_c 11.042
_cell_angle_alpha 90.00
_cell_angle_beta 90.00
_cell_angle_gamma 90.00
_space_group_name_H-M_alt 'P n a 21'
_space_group_IT_number 33
loop_
_space_group_symop_operation_xyz
'x,y,z'
'-x,-y,z+1/2'
'-x+1/2,y+1/2,z+1/2'
'x+1/2,-y+1/2,z'
loop_
_atom_site_label
_atom_site_type_symbol
_atom_site_fract_x
_atom_site_fract_y
_atom_site_fract_z
K1 K 0.015 0.017 0.000
Sm1 Sm 0.021 0.507 0.256
B1 B 0.031 0.553 0.508
B2 B 0.158 0.172 0.731
B3 B 0.230 0.203 0.283
H1 H 0.010 0.191 0.692
H2 H 0.019 0.667 0.586
H3 H 0.075 0.416 0.556
H4 H 0.107 0.464 0.954
H5 H 0.125 0.736 0.821
H6 H 0.130 0.253 0.363
H7 H 0.145 0.605 0.438
H8 H 0.164 0.035 0.787
H9 H 0.201 0.290 0.799
H10 H 0.204 0.280 0.187
H11 H 0.210 0.046 0.266
H12 H 0.242 0.660 0.143
```

No. 3
Computed, not measured: LiZn2B5H20 after structural relaxation at the PBE level of DFT.

Structure (CIF):
```
data_LiZn2B5H20
_chemical_formula_sum 'Li8 Zn16 B40 H160'
_cell_length_a 8.353
_cell_length_b 17.425
_cell_length_c 15.296
_cell_angle_alpha 90.00
_cell_angle_beta 90.00
_cell_angle_gamma 90.00
_space_group_name_H-M_alt 'C m c e'
_space_group_IT_number 64
_space_group_name_Hall '-C 2ac 2'
loop_
_atom_site_label
_atom_site_type_symbol
_atom_site_fract_x
_atom_site_fract_y
_atom_site_fract_z
Li1 Li 0.000 0.157 0.058
Zn1 Zn 0.000 0.073 0.376
Zn2 Zn 0.000 0.153 0.761
B1 B 0.000 0.041 0.688
B2 B 0.000 0.148 0.902
B3 B 0.000 0.247 0.669
B4 B 0.235 0.117 0.405
H1 H 0.000 0.017 0.267
H2 H 0.000 0.036 0.607
H3 H 0.000 0.088 0.858
H4 H 0.000 0.187 0.192
H5 H 0.000 0.211 0.861
H6 H 0.000 0.233 0.591
H7 H 0.125 0.147 0.942
H8 H 0.127 0.074 0.705
H9 H 0.128 0.219 0.700
H10 H 0.148 0.078 0.109
H11 H 0.155 0.082 0.461
H12 H 0.168 0.127 0.332
H13 H 0.247 0.181 0.066
```

Raw total energy? In order: -3.828 -4.187 -3.876 eV per atom.